AlCuNi2 | PBE | relaxed

CIF file:
```
data_AlCuNi2
_cell_length_a 6.432
_cell_length_b 6.432
_cell_length_c 4.957
_cell_angle_alpha 90.00
_cell_angle_beta 90.00
_cell_angle_gamma 90.00
_symmetry_space_group_name_H-M 'I -4 2 d'
_symmetry_Int_Tables_number 122
_symmetry_space_group_name_Hall 'I -4 2bw'
loop_
_atom_site_label
_atom_site_type_symbol
_atom_site_fract_x
_atom_site_fract_y
_atom_site_fract_z
_atom_site_occupancy
Al1 Al 0.000 0.000 0.000 1
Cu1 Cu 0.000 0.000 0.500 1
Ni1 Ni 0.248 0.750 0.125 1
```

Density of states at the Fermi level in states/eV per cell: 5.25
VASP energy in eV per atom: -4.793
Energy of formation from the pure elements in eV/atom: 0.057


AlCu2Ni5 | PBE | relaxed

CIF file:
```
data_AlCu2Ni5
_cell_length_a 2.501
_cell_length_b 7.800
_cell_length_c 9.483
_cell_angle_alpha 90.00
_cell_angle_beta 90.00
_cell_angle_gamma 90.00
_symmetry_space_group_name_H-M 'I m m m'
_symmetry_Int_Tables_number 71
_symmetry_space_group_name_Hall '-I 2 2'
loop_
_atom_site_label
_atom_site_type_symbol
_atom_site_fract_x
_atom_site_fract_y
_atom_site_fract_z
_atom_site_occupancy
Al1 Al 0.000 0.000 0.000 1
Cu1 Cu 0.000 0.500 0.253 1
Ni1 Ni 0.000 0.235 0.374 1
Ni2 Ni 0.000 0.500 0.000 1
```

Density of states at the Fermi level in states/eV per cell: 19.05
Excess energy over the best structure of this formula in the dataset in meV/atom: 149
VASP energy in eV per atom: -5.154
Energy of formation from the pure elements in eV/atom: -0.049